The following is a PBE calculation of an optimized crystal structure of TmSnB, from OQMD via LeMat-Bulk.

Computed properties:
**SG**: F-43m
**Calculated volume**: 70.3 Å³/cell
**Uncorrected energy**: -4.07 eV per atom

a b c (Å): 4.6320 4.6320 4.6320
angles (deg): 60.00 60.00 60.00
Element x y z (fractional)
B 0.7500 0.7500 0.7500
Tm 0.2500 0.2500 0.2500
Sn 0.0000 0.0000 0.0000